Density functional theory data (GGA-PBE) for a relaxed TlPdBr2 crystal.

Output
* DFT total energy: -2.877 eV per atom
* space-group type: R-3m, No. 166
* crystal system: trigonal

abc: 9.7188 9.7188 9.7188
angles: 22.98 22.98 22.98
With the nearest neighbours (Å) after each atom.
Element x y z (fractional)
Tl 0.0000 0.0000 0.0000  2 Br 3.21
Pd 0.5000 0.5000 0.5000  6 Br 2.70
Br 0.1131 0.1131 0.1131  3 Pd 2.70
Br 0.8869 0.8869 0.8869  3 Pd 2.70